1.
Material: TmMg5Sn6
Method: DFT, PBE-GGA
State: relaxed

a b c (Å): 4.596 8.678 7.638
angles (deg): 90.00 72.49 90.00
Fractional positions:
Mg 0.334 0.500 0.333
Sn 0.167 0.748 0.666
Sn 0.167 0.252 0.666
Sn 0.833 0.748 0.334
Mg 0.668 0.000 0.664
Tm 0.000 0.000 0.000
Sn 0.500 0.258 0.000
Mg 0.666 0.500 0.667
Mg 0.332 0.000 0.336
Sn 0.500 0.742 0.000
Mg 0.000 0.500 0.000
Sn 0.833 0.252 0.334

Results
* energy of formation: -0.2085 eV per atom
* energy above the most stable polymorph in this dataset: 0.00 kcal/mol of atoms

=====

2.
Material: Ba4Ce3GeN8
Method: DFT, PBE-GGA
State: relaxed

a b c (Å): 7.051 7.506 7.512
angles (deg): 118.05 117.99 90.00
Fractional positions:
N 0.274 0.313 0.548
Ce 0.000 0.500 0.500
N 0.789 0.319 0.028
N 0.211 0.681 0.972
Ge 0.000 0.500 0.000
Ba 0.000 0.000 0.500
Ba 0.500 0.000 0.000
Ce 0.500 0.500 0.500
N 0.730 0.278 0.460
Ce 0.500 0.500 0.000
Ba 0.500 0.000 0.500
N 0.270 0.722 0.540
N 0.761 0.681 0.972
Ba 0.000 0.000 0.000
N 0.726 0.687 0.452
N 0.239 0.319 0.028

Results
* formation energy without anion corrections: -635 meV/atom

=====

3.
Material: Nd2YTm6
Method: DFT, PBE-GGA
State: relaxed

a b c (Å): 5.464 5.465 21.498
angles (deg): 90.00 90.00 90.00
Fractional positions:
Tm 0.277 0.723 0.118
Nd 0.000 0.000 0.763
Nd 0.500 0.500 0.263
Nd 0.000 0.000 0.237
Tm 0.328 0.328 0.000
Tm 0.828 0.172 0.500
Y 0.500 0.500 0.500
Tm 0.223 0.223 0.382
Y 0.000 0.000 0.000
Tm 0.777 0.777 0.382
Tm 0.723 0.277 0.882
Tm 0.223 0.223 0.618
Tm 0.723 0.277 0.118
Tm 0.672 0.672 0.000
Tm 0.172 0.828 0.500
Tm 0.277 0.723 0.882
Tm 0.777 0.777 0.618
Nd 0.500 0.500 0.737

Results
* energy of formation: 0.7218 eV per atom
* energy above the most stable polymorph in this dataset: 14.10 kcal/mol of atoms

=====

no.,energy (eV per atom),total magnetic moment (μB per formula unit)
1,-3.2470,0.00
2,-6.6799,0.00
3,-4.0369,0.00